(1)
K9Fe2O7 PBEsol optimized geometry; uncorrected formation energy = -1.260 eV per atom
1.0
10.886 0.000 0.000
0.000 10.886 0.000
0.000 0.000 10.886
K O Fe
36 28 8
direct
0.711 0.338 0.496
0.662 0.996 0.789
0.540 0.719 0.834
0.103 0.603 0.897
0.211 0.162 0.504
0.771 0.729 0.271
0.040 0.781 0.166
0.566 0.434 0.934
0.004 0.289 0.838
0.271 0.771 0.729
0.229 0.229 0.229
0.460 0.219 0.666
0.897 0.103 0.603
0.603 0.897 0.103
0.996 0.789 0.662
0.219 0.666 0.460
0.960 0.281 0.334
0.066 0.066 0.066
0.789 0.662 0.996
0.834 0.540 0.719
0.281 0.334 0.960
0.162 0.504 0.211
0.334 0.960 0.281
0.781 0.166 0.040
0.434 0.934 0.566
0.934 0.566 0.434
0.838 0.004 0.289
0.338 0.496 0.711
0.504 0.211 0.162
0.729 0.271 0.771
0.496 0.711 0.338
0.397 0.397 0.397
0.719 0.834 0.540
0.166 0.040 0.781
0.666 0.460 0.219
0.289 0.838 0.004
0.431 0.156 0.406
0.418 0.945 0.816
0.094 0.569 0.656
0.816 0.418 0.945
0.844 0.906 0.069
0.302 0.698 0.198
0.156 0.406 0.431
0.344 0.594 0.931
0.582 0.445 0.684
0.555 0.184 0.918
0.698 0.198 0.302
0.184 0.918 0.555
0.802 0.802 0.802
0.594 0.931 0.344
0.082 0.055 0.316
0.656 0.094 0.569
0.918 0.555 0.184
0.945 0.816 0.418
0.055 0.316 0.082
0.069 0.844 0.906
0.931 0.344 0.594
0.445 0.684 0.582
0.569 0.656 0.094
0.406 0.431 0.156
0.684 0.582 0.445
0.906 0.069 0.844
0.316 0.082 0.055
0.198 0.302 0.698
0.572 0.572 0.572
0.072 0.928 0.428
0.904 0.904 0.904
0.596 0.096 0.404
0.928 0.428 0.072
0.096 0.404 0.596
0.404 0.596 0.096
0.428 0.072 0.928

(2)
Ti3CrSn2P6O24 PBEsol optimized geometry; uncorrected formation energy = -2.330 eV per atom
1.0
-4.720 -1.672 6.817
-4.380 -7.223 0.444
2.895 -6.358 5.693
O Ti P Cr Sn
24 3 6 1 2
direct
0.587 0.415 0.766
0.302 0.044 0.714
0.987 0.237 0.413
0.509 0.129 0.080
0.592 0.773 0.225
0.044 0.940 0.714
0.282 0.509 0.080
0.940 0.302 0.714
0.129 0.282 0.080
0.410 0.592 0.225
0.877 0.708 0.917
0.773 0.410 0.225
0.712 0.961 0.273
0.742 0.653 0.585
0.961 0.054 0.273
0.363 0.987 0.413
0.498 0.877 0.917
0.653 0.020 0.585
0.020 0.742 0.585
0.708 0.498 0.917
0.237 0.363 0.413
0.415 0.233 0.766
0.233 0.587 0.766
0.054 0.712 0.273
0.147 0.147 0.560
0.647 0.647 0.058
0.350 0.350 0.951
0.248 0.539 0.251
0.963 0.248 0.251
0.471 0.037 0.744
0.037 0.749 0.744
0.539 0.963 0.251
0.749 0.471 0.744
0.849 0.849 0.453
0.489 0.489 0.532
0.984 0.984 0.047

(3)
CdGeO3 PBEsol optimized geometry; uncorrected formation energy = -1.458 eV per atom
1.0
-4.623 -1.133 2.542
-4.144 -0.783 -5.629
0.544 -7.011 0.121
O Cd Ge
12 4 4
direct
0.371 0.858 0.391
0.153 0.972 0.786
0.129 0.609 0.142
0.347 0.214 0.028
0.565 0.408 0.299
0.653 0.786 0.972
0.847 0.028 0.214
0.871 0.391 0.858
0.935 0.701 0.592
0.435 0.592 0.701
0.065 0.299 0.408
0.629 0.142 0.609
0.250 0.904 0.096
0.750 0.096 0.904
0.250 0.289 0.711
0.750 0.711 0.289
0.276 0.385 0.206
0.224 0.794 0.615
0.724 0.615 0.794
0.776 0.206 0.385

(4)
LaYIn6 PBEsol optimized geometry; ΔE_f = -49 kJ per mole of atoms
1.0
-2.311 2.495 -3.143
0.436 -3.449 -3.059
-7.955 -3.635 2.963
In Y La
6 1 1
direct
0.500 0.500 0.000
0.000 0.500 0.257
0.500 0.000 0.257
0.000 0.500 0.743
0.500 0.000 0.743
0.500 0.500 0.500
0.000 0.000 0.500
0.000 0.000 0.000

(5)
RbPb3Au PBEsol optimized geometry; ΔE_f = 17 kJ per mole of atoms
1.0
-3.277 2.001 -4.117
-3.019 -4.751 0.094
-3.441 2.263 3.839
Pb Au Rb
3 1 1
direct
0.000 0.500 0.000
0.000 0.000 0.500
0.500 0.000 0.000
0.000 0.000 0.000
0.500 0.500 0.500

(6)
Li2FeSi6O15 PBEsol optimized geometry; uncorrected formation energy = -2.492 eV per atom; relative energy among the computed polymorphs = 0.0000 eV per atom
1.0
-3.448 9.080 -1.111
-2.442 0.381 10.694
10.246 3.925 0.287
O Si Fe Li
60 24 4 8
direct
0.522 0.594 0.134
0.426 0.242 0.001
0.907 0.254 0.096
0.022 0.634 0.094
0.522 0.866 0.406
0.167 0.312 0.337
0.399 0.813 0.187
0.593 0.754 0.596
0.074 0.499 0.258
0.177 0.507 0.850
0.163 0.972 0.740
0.337 0.472 0.240
0.014 0.881 0.119
0.593 0.404 0.246
0.323 0.650 0.993
0.907 0.904 0.746
0.093 0.746 0.904
0.407 0.596 0.754
0.478 0.406 0.866
0.333 0.812 0.837
0.926 0.501 0.742
0.514 0.619 0.381
0.333 0.163 0.188
0.823 0.493 0.150
0.726 0.963 0.037
0.677 0.993 0.650
0.274 0.037 0.963
0.978 0.094 0.634
0.074 0.742 0.501
0.163 0.260 0.028
0.407 0.246 0.404
0.093 0.096 0.254
0.978 0.366 0.906
0.663 0.528 0.760
0.337 0.760 0.528
0.823 0.850 0.507
0.177 0.150 0.493
0.667 0.188 0.163
0.986 0.119 0.881
0.837 0.740 0.972
0.833 0.688 0.663
0.837 0.028 0.260
0.323 0.007 0.350
0.601 0.187 0.813
0.774 0.463 0.537
0.574 0.758 0.999
0.574 0.001 0.242
0.167 0.663 0.688
0.833 0.337 0.312
0.226 0.537 0.463
0.667 0.837 0.812
0.426 0.999 0.758
0.663 0.240 0.472
0.899 0.687 0.313
0.101 0.313 0.687
0.486 0.381 0.619
0.022 0.906 0.366
0.677 0.350 0.007
0.926 0.258 0.499
0.478 0.134 0.594
0.048 0.424 0.793
0.452 0.924 0.293
0.294 0.953 0.828
0.548 0.076 0.707
0.952 0.793 0.424
0.997 0.752 0.023
0.548 0.293 0.924
0.206 0.453 0.328
0.794 0.328 0.453
0.497 0.748 0.477
0.503 0.252 0.523
0.952 0.576 0.207
0.503 0.477 0.748
0.706 0.047 0.172
0.706 0.828 0.953
0.497 0.523 0.252
0.294 0.172 0.047
0.997 0.977 0.248
0.794 0.547 0.672
0.003 0.023 0.752
0.048 0.207 0.576
0.206 0.672 0.547
0.003 0.248 0.977
0.452 0.707 0.076
0.250 0.162 0.338
0.250 0.662 0.838
0.750 0.338 0.162
0.750 0.838 0.662
0.750 0.507 0.993
0.500 0.753 0.753
0.250 0.493 0.007
0.250 0.993 0.507
0.500 0.247 0.247
0.000 0.747 0.747
0.750 0.007 0.493
0.000 0.253 0.253

(7)
AlFeW PBEsol optimized geometry; ΔE_f = -16 kJ per mole of atoms; relative energy among the computed polymorphs = 0.0000 eV per atom
1.0
2.839 0.000 0.000
0.000 2.839 0.000
-1.419 -1.419 4.816
Al W Fe
1 1 1
direct
0.015 0.015 0.029
0.322 0.322 0.644
0.663 0.663 0.327

(8)
NaHoP2O7 PBEsol optimized geometry; uncorrected formation energy = -2.689 eV per atom
1.0
-4.172 -2.239 -2.559
5.040 -1.548 -6.863
0.949 -10.996 8.076
Na O P Ho
4 28 8 4
direct
0.778 0.280 0.335
0.722 0.780 0.835
0.278 0.220 0.165
0.222 0.720 0.665
0.871 0.657 0.427
0.970 0.962 0.745
0.937 0.811 0.999
0.296 0.866 0.893
0.273 0.599 0.931
0.129 0.343 0.573
0.563 0.311 0.499
0.437 0.689 0.501
0.204 0.366 0.393
0.505 0.945 0.727
0.030 0.038 0.255
0.227 0.099 0.431
0.736 0.177 0.687
0.995 0.445 0.227
0.005 0.555 0.773
0.264 0.823 0.313
0.495 0.055 0.273
0.470 0.538 0.755
0.773 0.901 0.569
0.063 0.189 0.001
0.704 0.134 0.107
0.371 0.843 0.073
0.236 0.323 0.813
0.530 0.462 0.245
0.629 0.157 0.927
0.764 0.677 0.187
0.796 0.634 0.607
0.727 0.401 0.069
0.245 0.497 0.812
0.784 0.210 0.023
0.755 0.503 0.188
0.716 0.710 0.523
0.255 0.997 0.312
0.745 0.003 0.688
0.284 0.290 0.477
0.216 0.790 0.977
0.265 0.100 0.853
0.235 0.600 0.353
0.735 0.900 0.147
0.765 0.400 0.647

(9)
HfBeSbC2 PBEsol optimized geometry; uncorrected formation energy = 2.144 eV per atom
1.0
-1.623 -1.091 3.747
1.357 -3.962 -0.566
3.712 1.000 1.899
C Hf Sb Be
2 1 1 1
direct
0.500 0.000 0.000
0.000 0.500 0.000
0.500 0.500 0.500
0.000 0.000 0.000
0.000 0.000 0.500

(10)
LuAl3 PBEsol optimized geometry; ΔE_f = -40 kJ per mole of atoms
1.0
-1.142 0.198 3.999
3.960 -0.557 1.158
0.590 4.121 -0.035
Lu Al
1 3
direct
0.000 0.000 0.000
0.500 0.000 0.500
0.000 0.500 0.500
0.500 0.500 0.000

(11)
CrCdCl PBEsol optimized geometry; uncorrected formation energy = 0.096 eV per atom; relative energy among the computed polymorphs = 0.0000 eV per atom
1.0
-1.966 -0.068 2.502
-0.436 -3.121 -0.450
5.749 0.449 2.516
Cl Cd Cr
1 1 1
direct
0.299 0.299 0.599
0.023 0.023 0.046
0.677 0.678 0.354

(12)
LaBe4Fe PBEsol optimized geometry; ΔE_f = 23 kJ per mole of atoms
1.0
-2.241 1.188 3.964
-3.096 -2.970 1.933
1.040 -2.185 4.037
Be La Fe
4 1 1
direct
0.380 0.380 0.380
0.860 0.380 0.380
0.380 0.860 0.380
0.380 0.380 0.860
0.000 0.000 0.000
0.750 0.750 0.750